[1]
Pa3InC | PBE-GGA | optimized geometry

Structure (POSCAR):
```
Pa3InC
1.0
-4.222 -1.830 1.429
1.073 -4.167 -2.166
2.058 -1.580 4.059
C Pa In
1 3 1
Cartesian
0.000 0.000 0.000 C
0.537 -2.084 -1.083 Pa
1.029 -0.790 2.030 Pa
-2.111 -0.915 0.714 Pa
-0.545 -3.788 1.661 In
```

Properties
V (A^3/atom): 22.364
Space group: Pm-3m (221)
Energy of formation from the pure elements (eV per atom): -0.22
Total magnetic moment (μB/f.u.): 0.0

***

[2]
InPb3C | PBE-GGA | optimized geometry

Structure (POSCAR):
```
InPb3C
1.0
-2.856 3.712 2.054
-2.604 0.420 -4.381
-3.349 -3.493 1.655
Pb C In
3 1 1
Cartesian
-1.302 0.210 -2.191 Pb
-1.674 -1.746 0.828 Pb
-1.428 1.856 1.027 Pb
0.000 0.000 0.000 C
-4.404 0.320 -0.336 In
```

Properties
V (A^3/atom): 26.748
Space group: Pm-3m (221)
Energy of formation from the pure elements (eV per atom): 0.87
Total magnetic moment (μB/f.u.): 0.0

***

[3]
In2PbC | PBE-GGA | optimized geometry

Structure (POSCAR):
```
In2PbC
1.0
6.392 0.000 0.000
0.000 6.392 0.000
3.196 3.196 5.043
Pb C In
2 2 4
Cartesian
0.000 0.000 0.000 Pb
6.392 3.196 2.521 Pb
3.196 3.196 0.000 C
3.196 6.392 2.521 C
4.057 1.598 1.261 In
2.335 4.794 1.261 In
4.794 5.531 3.782 In
7.990 7.254 3.782 In
```

Properties
V (A^3/atom): 25.757
Space group: I-42d (122)
Energy of formation from the pure elements (eV per atom): 0.75
Total magnetic moment (μB/f.u.): 0.0

***

[4]
InPbC2 | PBE-GGA | optimized geometry

Structure (POSCAR):
```
InPbC2
1.0
-2.280 4.562 -1.284
-4.612 -1.808 1.767
-2.354 3.270 5.027
Pb C In
2 4 2
Cartesian
0.000 0.000 0.000 Pb
-4.040 4.604 1.992 Pb
-2.572 3.406 0.685 C
-3.774 0.294 2.190 C
-4.387 3.471 3.966 C
-7.759 4.877 4.179 C
-3.446 1.377 0.242 In
-5.206 1.419 3.518 In
```

Properties
V (A^3/atom): 18.188
Space group: I-42d (122)
Energy of formation from the pure elements (eV per atom): 1.43
Total magnetic moment (μB/f.u.): 0.0

***

[5]
InPb3C | PBE-GGA | optimized geometry

Structure (POSCAR):
```
InPb3C
1.0
5.816 0.000 0.000
0.000 5.816 0.000
0.000 0.000 5.816
Pb C In
3 1 1
Cartesian
0.000 2.908 0.000 Pb
0.000 0.000 2.908 Pb
2.908 0.000 0.000 Pb
2.908 2.908 2.908 C
0.000 0.000 0.000 In
```

Properties
V (A^3/atom): 39.343
Space group: Pm-3m (221)
Energy of formation from the pure elements (eV per atom): 1.80
Total magnetic moment (μB/f.u.): 1.8

***

[6]
InPbC2 | PBE-GGA | optimized geometry

Structure (POSCAR):
```
InPbC2
1.0
0.000 3.189 3.189
3.189 0.000 3.189
3.189 3.189 0.000
Pb C In
1 2 1
Cartesian
3.189 3.189 3.189 Pb
1.595 1.595 1.595 C
4.784 4.784 4.784 C
0.000 0.000 0.000 In
```

Properties
V (A^3/atom): 16.223
Space group: Fm-3m (225)
Energy of formation from the pure elements (eV per atom): 2.23
Total magnetic moment (μB/f.u.): 0.0

***

[7]
In2PbC | PBE-GGA | optimized geometry

Structure (POSCAR):
```
In2PbC
1.0
-4.481 -2.342 0.506
-2.231 -0.260 4.558
-4.193 2.713 0.935
Pb C In
1 1 2
Cartesian
-5.452 0.056 2.999 Pb
0.000 0.000 0.000 C
-2.726 0.028 1.500 In
-8.179 0.084 4.499 In
```

Properties
V (A^3/atom): 23.192
Space group: Fm-3m (225)
Energy of formation from the pure elements (eV per atom): 1.40
Total magnetic moment (μB/f.u.): 0.0

***

[8]
In2PbC4 | PBE-GGA | optimized geometry

Structure (POSCAR):
```
In2PbC4
1.0
-0.893 -4.392 -0.158
2.197 -0.307 -3.897
5.865 -3.518 1.004
Pb C In
1 4 2
Cartesian
0.000 0.000 0.000 Pb
3.451 -5.180 -2.806 C
3.718 -3.037 -0.245 C
1.099 -0.153 -1.949 C
-0.447 -2.196 -0.079 C
5.277 -5.590 -1.745 In
1.892 -2.627 -1.307 In
```

Properties
V (A^3/atom): 17.647
Space group: I4/mmm (139)
Energy of formation from the pure elements (eV per atom): 2.69
Total magnetic moment (μB/f.u.): 2.2

***

[9]
ScInPbC2 | PBE-GGA | optimized geometry

Structure (POSCAR):
```
ScInPbC2
1.0
4.410 0.000 0.000
0.000 5.721 0.000
0.000 0.000 4.410
Pb Sc C In
1 1 2 1
Cartesian
0.000 2.860 0.000 Pb
0.000 0.000 0.000 Sc
0.000 0.000 2.205 C
2.205 0.000 0.000 C
2.205 2.860 2.205 In
```

Properties
V (A^3/atom): 22.255
Space group: P4/mmm (123)
Energy of formation from the pure elements (eV per atom): 1.61
Total magnetic moment (μB/f.u.): 0.0

***

[10]
InTc2PbC | PBE-GGA | optimized geometry

Structure (POSCAR):
```
InTc2PbC
1.0
-4.986 0.999 -1.282
1.400 -0.155 -5.567
-1.003 -5.146 -0.109
Pb C Tc In
1 1 2 1
Cartesian
0.000 0.000 0.000 Pb
-2.295 -2.151 -3.479 C
-0.501 -2.573 -0.054 Tc
-2.493 0.499 -0.641 Tc
0.700 -0.078 -2.784 In
```

Properties
V (A^3/atom): 31.583
Space group: P4/mmm (123)
Energy of formation from the pure elements (eV per atom): 3.19
Total magnetic moment (μB/f.u.): 7.1

***

[11]
TiIn2PbC | PBE-GGA | optimized geometry

Structure (POSCAR):
```
TiIn2PbC
1.0
-3.668 -0.361 -2.681
0.059 -5.273 0.629
-2.705 0.404 3.646
Pb C Ti In
1 1 1 2
Cartesian
0.030 -2.637 0.314 Pb
0.000 0.000 0.000 C
-3.157 -2.615 0.797 Ti
-1.352 0.202 1.823 In
-1.834 -0.180 -1.341 In
```

Properties
V (A^3/atom): 22.062
Space group: P4/mmm (123)
Energy of formation from the pure elements (eV per atom): 1.06
Total magnetic moment (μB/f.u.): 0.0

***

[12]
Tm4InPbC | PBE-GGA | optimized geometry

Structure (POSCAR):
```
Tm4InPbC
1.0
-5.277 3.653 2.093
-0.540 -3.912 5.467
7.483 2.943 2.845
Tm In Pb C
8 2 2 2
Cartesian
1.177 4.737 5.586 Tm
3.561 0.970 7.285 Tm
0.490 -2.054 4.818 Tm
-1.894 1.714 3.119 Tm
0.833 1.342 5.202 Tm
3.742 1.471 1.422 Tm
1.103 3.298 2.469 Tm
3.472 -0.485 4.156 Tm
-1.958 -0.040 6.018 In
3.625 2.723 4.387 In
0.921 0.062 2.215 Pb
0.745 2.622 8.190 Pb
2.026 -0.542 6.052 C
-0.359 3.225 4.353 C
```

Properties
V (A^3/atom): 25.474
Space group: Cmcm (63)
Energy of formation from the pure elements (eV per atom): -0.47
Total magnetic moment (μB/f.u.): 0.0

***

| no. | total energy (eV/atom) |
| --- | --- |
| 1 | -8.31 |
| 2 | -3.75 |
| 3 | -3.86 |
| 4 | -4.80 |
| 5 | -2.82 |
| 6 | -3.99 |
| 7 | -3.20 |
| 8 | -3.89 |
| 9 | -4.64 |
| 10 | -4.09 |
| 11 | -4.20 |
| 12 | -5.26 |